An optimized crystal structure of InNiIrOs2. Source: the Alexandria database, functional PBE.

The space group is P4/mmm (No. 123) and the conventional cell measures 4.723, 4.723 and 4.989 Å, with angles of 90.00, 90.00 and 90.00 degrees. The inequivalent atoms are In at (0.000, 0.000, 0.000), Ni at (0.500, 0.500, 0.000), Ir at (0.000, 0.000, 0.500) and Os at (0.000, 0.500, 0.500).

The total magnetization is 1.07 μB/f.u. As for the density of states at the Fermi level: 6.7 states/eV/cell. For the total energy, the calculation gives -6.00 eV per atom. The energy of formation comes out at 1967.7 meV per atom.